! Ag3Au4 (GGA-PBE, relaxed); values from VASP
! ΔH_f (0 K) = 0.00 eV per atom
! offset from the most stable computed form = 43 meV per atom
! volume = 18.15 Å³ per atom
! size of the total moment = 0.000 Bohr magnetons per cell
&SYSTEM
  ibrav = 0, nat = 7, ntyp = 2
/
ATOMIC_SPECIES
Au 196.97 Au.upf
Ag 107.87 Ag.upf
CELL_PARAMETERS angstrom
-2.499 7.463 7.195
0.779 4.621 9.578
2.703 -4.618 -9.223
ATOMIC_POSITIONS crystal
Au 0.429 0.429 0.000
Ag 0.714 0.714 0.000
Au 0.143 0.143 0.000
Ag 0.286 0.286 0.000
Ag 0.000 0.000 0.000
Au 0.857 0.857 0.000
Au 0.571 0.571 0.000


! Ag6Au (GGA-PBE, relaxed); values from VASP
! ΔH_f (0 K) = 0.03 eV per atom
! offset from the most stable computed form = 0 meV per atom
! volume = 18.03 Å³ per atom
! size of the total moment = 0.000 Bohr magnetons per cell
&SYSTEM
  ibrav = 0, nat = 7, ntyp = 2
/
ATOMIC_SPECIES
Ag 107.87 Ag.upf
Au 196.97 Au.upf
CELL_PARAMETERS angstrom
4.418 0.000 1.516
1.949 3.965 1.516
-0.004 -0.002 7.204
ATOMIC_POSITIONS crystal
Ag 0.286 0.286 0.143
Au 0.000 0.000 0.000
Ag 0.429 0.429 0.713
Ag 0.714 0.714 0.857
Ag 0.143 0.143 0.572
Ag 0.857 0.857 0.428
Ag 0.571 0.571 0.287